(1)
Material: CsK12Na3
Method: DFT, PBE
State: relaxed

a = 6.510 Å, b = 6.510 Å, c = 25.234 Å
α = 90.00°, β = 90.00°, γ = 90.00°
Space group P4/mmm (No. 123)
One atom of each set of equivalent atoms:
Cs 0.000 0.000 0.000 x1
K 0.000 0.500 0.145 x4
K 0.000 0.500 0.381 x4
K 0.500 0.500 0.000 x1
K 0.500 0.500 0.263 x2
K 0.500 0.500 0.500 x1
Na 0.000 0.000 0.260 x2
Na 0.000 0.000 0.500 x1

Properties
density of states at the Fermi level = 9.8 states/eV/f.u.
V = 66.8 Å³ per atom
raw total energy = -17.7 eV per cell
ΔE_f = 0.0179 eV/atom
size of the total moment = 0.00 μB per formula unit


(2)
Material: Cs3K4Na2
Method: DFT, PBE
State: relaxed

a = 19.421 Å, b = 14.594 Å, c = 10.385 Å
α = 90.00°, β = 105.22°, γ = 90.00°
Space group C2/c (No. 15)
One atom of each set of equivalent atoms:
Cs 0.000 0.063 0.250 x4
Cs 0.120 0.408 0.181 x8
K 0.095 0.253 0.653 x8
K 0.193 0.112 0.041 x8
Na 0.225 0.142 0.432 x8

Properties
density of states at the Fermi level = 6.9 states/eV/f.u.
V = 78.9 Å³ per atom
raw total energy = -37.4 eV per cell
ΔE_f = 0.0256 eV/atom
size of the total moment = 0.00 μB per formula unit


(3)
Material: Cs4K2Na
Method: DFT, PBE
State: relaxed

a = 17.697 Å, b = 17.697 Å, c = 7.989 Å
α = 90.00°, β = 90.00°, γ = 90.00°
Space group I4/mcm (No. 140)
One atom of each set of equivalent atoms:
Cs 0.095 0.209 0.000 x16
K 0.093 0.407 0.500 x8
Na 0.000 0.000 0.250 x4

Properties
density of states at the Fermi level = 7.3 states/eV/f.u.
V = 89.4 Å³ per atom
raw total energy = -27.1 eV per cell
ΔE_f = 0.0208 eV/atom
size of the total moment = 0.00 μB per formula unit


(4)
Material: Cs2K17Na3
Method: DFT, PBE
State: relaxed

a = 15.8253 Å, b = 15.8253 Å, c = 23.1689 Å
α = 90.00°, β = 90.00°, γ = 120.00°
Space group R-3m (No. 166, hexagonal axes)
One atom of each set of equivalent atoms:
Cs 0.0000 0.0000 0.1654 x6
K 0.0000 0.0000 0.3961 x6
K 0.0000 0.2671 0.5000 x18
K 0.0000 0.5000 0.0000 x9
K 0.0098 0.5049 0.6664 x18
Na 0.0000 0.5000 0.5000 x9

Properties
density of states at the Fermi level = 17.7 states/eV/f.u.
V = 76.1 Å³ per atom
raw total energy = -69.2 eV per cell
ΔE_f = 0.0576 eV/atom
size of the total moment = 0.00 μB per formula unit


(5)
Material: Cs4KNa2
Method: DFT, PBE
State: relaxed

a = 7.5570 Å, b = 7.5570 Å, c = 39.0924 Å
α = 90.00°, β = 90.00°, γ = 120.00°
Space group R-3m (No. 166, hexagonal axes)
One atom of each set of equivalent atoms:
Cs 0.0000 0.0000 0.1162 x6
Cs 0.0000 0.0000 0.2889 x6
K 0.0000 0.0000 0.5000 x3
Na 0.0000 0.0000 0.4012 x6

Properties
density of states at the Fermi level = 6.7 states/eV/f.u.
V = 92.1 Å³ per atom
raw total energy = -20.1 eV per cell
ΔE_f = 0.0639 eV/atom
size of the total moment = 0.00 μB per formula unit


(6)
Material: CsKNa10
Method: DFT, PBE
State: relaxed

a = 5.900 Å, b = 7.330 Å, c = 12.982 Å
α = 90.00°, β = 90.00°, γ = 90.00°
Space group Pmmm (No. 47)
One atom of each set of equivalent atoms:
Cs 0.000 0.000 0.000 x1
K 0.000 0.500 0.500 x1
Na 0.000 0.000 0.341 x2
Na 0.000 0.500 0.176 x2
Na 0.500 0.000 0.500 x1
Na 0.500 0.252 0.256 x4
Na 0.500 0.500 0.000 x1

Properties
density of states at the Fermi level = 5.7 states/eV/f.u.
V = 46.8 Å³ per atom
raw total energy = -14.9 eV per cell
ΔE_f = 0.0240 eV/atom
size of the total moment = 0.00 μB per formula unit